YInOs2: relaxed, GGA-PBE.

a = 2.938 Å, b = 3.576 Å, c = 7.565 Å
α = 90.00°, β = 90.00°, γ = 90.00°
Fractional coordinates of all 4 atoms:
Os 0.000 0.000 0.043
Y 0.000 0.000 0.469
Os 0.500 0.500 0.194
In 0.500 0.500 0.794

Properties
VASP energy = -31.172 eV per cell
Energy relative to the elements = 47 kJ/mol of formula units
Symmetry = Pmm2 (25)

---

BaCa3Pt: relaxed, GGA-PBE.

a = 6.939 Å, b = 7.372 Å, c = 7.427 Å
α = 90.00°, β = 91.38°, γ = 90.00°
Fractional coordinates of all 10 atoms:
Pt 0.180 0.750 0.450
Ca 0.085 0.005 0.744
Ba 0.602 0.750 0.629
Ca 0.085 0.495 0.744
Pt 0.820 0.250 0.550
Ca 0.915 0.505 0.256
Ca 0.915 0.995 0.256
Ba 0.398 0.250 0.371
Ca 0.395 0.750 0.123
Ca 0.605 0.250 0.877

Properties
VASP energy = -32.268 eV per cell
Energy relative to the elements = -209 kJ/mol of formula units
Symmetry = P2_1/m (11)

---

SmYNiI: relaxed, GGA-PBE.

a = 4.055 Å, b = 4.055 Å, c = 8.259 Å
α = 90.01°, β = 104.22°, γ = 119.99°
Fractional coordinates of all 4 atoms:
Y 0.091 0.944 0.050
I 0.964 0.380 0.360
Sm 0.517 0.156 0.689
Ni 0.305 0.551 0.871

Properties
VASP energy = -21.143 eV per cell
Raw formation energy = -0.657 eV/atom
Symmetry = R3m (160)

---

Ti2GaAu2: relaxed, GGA-PBE.

a = 7.424 Å, b = 7.424 Å, c = 3.331 Å
α = 90.00°, β = 90.00°, γ = 90.00°
Fractional coordinates of all 10 atoms:
Ti 0.336 0.836 0.000
Ti 0.664 0.164 0.000
Ga 0.500 0.500 0.000
Au 0.866 0.366 0.500
Ti 0.836 0.664 0.000
Au 0.634 0.866 0.500
Ga 0.000 0.000 0.000
Au 0.134 0.634 0.500
Ti 0.164 0.336 0.000
Au 0.366 0.134 0.500

Properties
VASP energy = -52.450 eV per cell
Energy relative to the elements = -82 kJ/mol of formula units
Symmetry = P4/mbm (127)

---

Hf2CdIr: relaxed, GGA-PBE.

a = 7.759 Å, b = 7.759 Å, c = 6.198 Å
α = 51.25°, β = 51.25°, γ = 90.00°
Fractional coordinates of all 8 atoms:
Hf 0.875 0.927 0.750
Hf 0.677 0.125 0.250
Hf 0.375 0.323 0.750
Cd 0.250 0.750 0.500
Ir 0.000 0.000 0.000
Hf 0.073 0.625 0.250
Ir 0.750 0.250 0.500
Cd 0.500 0.500 0.000

Properties
VASP energy = -59.672 eV per cell
Energy relative to the elements = -15 kJ/mol of formula units
Symmetry = I-42d (122)

---

Si4TeCl: relaxed, GGA-PBE.

a = 5.415 Å, b = 5.415 Å, c = 5.415 Å
α = 60.00°, β = 60.00°, γ = 60.00°
Fractional coordinates of all 6 atoms:
Si 0.373 0.373 0.373
Te 0.750 0.750 0.750
Cl 0.000 0.000 0.000
Si 0.373 0.881 0.373
Si 0.373 0.373 0.881
Si 0.881 0.373 0.373

Properties
VASP energy = -23.323 eV per cell
Raw formation energy = 0.560 eV/atom
Symmetry = F-43m (216)

---

MnV2Ga: relaxed, GGA-PBE.

a = 3.065 Å, b = 3.065 Å, c = 5.561 Å
α = 90.00°, β = 90.00°, γ = 90.00°
Last column: magnetic moment on the atom in μB.
Fractional coordinates of all 4 atoms:
V 0.000 0.000 0.227  -0.30
Ga 0.500 0.500 0.500  0.00
V 0.000 0.000 0.773  -0.30
Mn 0.500 0.500 0.000  0.66

Properties
VASP energy = -30.909 eV per cell
Energy relative to the elements = -46 kJ/mol of formula units
Symmetry = P4/mmm (123)

---

Ta6GeS: relaxed, GGA-PBE.

a = 5.862 Å, b = 5.864 Å, c = 6.064 Å
α = 61.08°, β = 61.09°, γ = 59.99°
Fractional coordinates of all 8 atoms:
Ta 0.534 0.237 0.245
Ta 0.237 0.985 0.245
S 0.000 0.000 0.000
Ge 0.500 0.500 0.500
Ta 0.985 0.534 0.245
Ta 0.763 0.015 0.755
Ta 0.466 0.763 0.755
Ta 0.015 0.466 0.755

Properties
VASP energy = -78.773 eV per cell
Raw formation energy = 0.136 eV/atom
Symmetry = R-3 (148)

---

HfMg2Zr2: relaxed, GGA-PBE.

a = 8.361 Å, b = 8.361 Å, c = 3.219 Å
α = 90.00°, β = 90.00°, γ = 90.00°
Last column: magnetic moment on the atom in μB.
Fractional coordinates of all 10 atoms:
Mg 0.169 0.331 0.500  0.00
Zr 0.630 0.870 0.000  0.01
Mg 0.669 0.169 0.500  0.00
Zr 0.130 0.630 0.000  0.01
Zr 0.870 0.370 0.000  0.01
Zr 0.370 0.130 0.000  0.01
Hf 0.500 0.500 0.000  0.06
Hf 0.000 0.000 0.000  0.06
Mg 0.831 0.669 0.500  0.00
Mg 0.331 0.831 0.500  0.00

Properties
VASP energy = -57.120 eV per cell
Energy relative to the elements = 162 kJ/mol of formula units
Symmetry = P4/mbm (127)

---

Cs2Rb2Mg: relaxed, GGA-PBE.

a = 10.387 Å, b = 10.387 Å, c = 7.897 Å
α = 90.00°, β = 90.00°, γ = 90.00°
Fractional coordinates of all 10 atoms:
Cs 0.817 0.317 0.500
Cs 0.317 0.183 0.500
Rb 0.348 0.848 0.000
Rb 0.848 0.652 0.000
Mg 0.000 0.000 0.000
Mg 0.500 0.500 0.000
Rb 0.152 0.348 0.000
Rb 0.652 0.152 0.000
Cs 0.683 0.817 0.500
Cs 0.183 0.683 0.500

Properties
VASP energy = -8.687 eV per cell
Energy relative to the elements = 86 kJ/mol of formula units
Symmetry = P4/mbm (127)

---

Rb2TaOsBr6: relaxed, GGA-PBE.

a = 7.523 Å, b = 7.523 Å, c = 7.491 Å
α = 59.86°, β = 59.86°, γ = 90.00°
Last column: magnetic moment on the atom in μB.
Fractional coordinates of all 10 atoms:
Br 0.751 0.249 0.000  0.02
Br 0.248 0.248 0.504  0.01
Os 0.000 0.000 0.000  0.75
Br 0.752 0.752 0.496  0.01
Rb 0.750 0.250 0.500  0.00
Br 0.751 0.751 0.000  0.02
Br 0.249 0.751 0.000  0.02
Rb 0.250 0.750 0.500  0.00
Ta 0.500 0.500 0.000  1.48
Br 0.249 0.249 0.000  0.02

Properties
VASP energy = -39.622 eV per cell
Raw formation energy = -0.457 eV/atom
Symmetry = I4/mmm (139)

---

LiTiIn2: relaxed, GGA-PBE.

a = 4.795 Å, b = 4.795 Å, c = 4.795 Å
α = 60.00°, β = 60.00°, γ = 60.00°
Fractional coordinates of all 4 atoms:
In 0.750 0.750 0.750
Li 0.000 0.000 0.000
Ti 0.500 0.500 0.500
In 0.250 0.250 0.250

Properties
VASP energy = -15.626 eV per cell
Energy relative to the elements = -33 kJ/mol of formula units
Symmetry = Fm-3m (225)